# SbMoPt2

A geometry-optimized SbMoPt2 structure (PBE, the Alexandria database).

a = 4.7442 Å, b = 4.7442 Å, c = 4.7442 Å
α = 125.40°, β = 125.40°, γ = 80.87°
Element x y z (fractional)
Pt (0.0000, 0.0000, 0.0000)
Sb (0.5000, 0.5000, 0.0000)
Pt (0.2500, 0.7500, 0.5000)
Mo (0.7500, 0.2500, 0.5000)

Summary:
space-group type	I-4m2, No. 119
energy relative to the elements, uncorrected	24	meV/atom
DOS(E_F)	4.5	states/eV/f.u.
volume	68.4	Å³ per cell
ρ	14.761	g cm⁻³